VASP calculation (PBEsol) on Dy2AlGe2 after structural relaxation.

Formation energy from the elements (eV/atom): -0.792
Total moment (μB/f.u.): 0.0
Calculated total energy (eV/atom): -5.58

a b c (Å): 6.8877 6.8877 4.2776
angles (deg): 90.00 90.00 90.00
Closest atoms and distances in Å follow each position.
Space group P4/mbm (No. 127)
Symmetry-distinct sites (fractional):
Dy: 0.1763 0.3237 0.0000 (multiplicity 4)  6 Ge 2.86-3.02
Al: 0.0000 0.0000 0.5000 (multiplicity 2)  4 Ge 2.70
Ge: 0.1293 0.6293 0.5000 (multiplicity 4)  1 Ge 2.52, 2 Al 2.70

---

VASP calculation (PBEsol) on La2BrCl after structural relaxation.

Total moment (μB/f.u.): 0.0
Calculated total energy (eV/atom): -5.12
E_form (uncorrected) (eV per atom): -1.476
Energy above the most stable polymorph in this dataset (kJ/mol of formula units): 3

a b c (Å): 8.9193 3.6827 6.3866
angles (deg): 90.00 103.87 90.00
Closest atoms and distances in Å follow each position.
Space group C2/m (No. 12)
Symmetry-distinct sites (fractional):
La: 0.2466 0.0000 0.2424 (multiplicity 4)  3 Cl 3.00-3.03, 3 Br 3.05-3.07
Br: 0.0000 0.0000 0.5000 (multiplicity 2)  6 La 3.05-3.07
Cl: 0.0000 0.5000 0.0000 (multiplicity 2)  6 La 3.00-3.03

---

VASP calculation (PBEsol) on Li5SbS after structural relaxation.

Total moment (μB/f.u.): 0.0
Calculated total energy (eV/atom): -3.58
E_form (uncorrected) (eV per atom): -0.903
Energy above the most stable polymorph in this dataset (kJ/mol of formula units): 1

a b c (Å): 17.8486 5.8686 4.4876
angles (deg): 90.00 90.00 90.00
Closest atoms and distances in Å follow each position.
Space group Pnma (No. 62)
Symmetry-distinct sites (fractional):
Li: 0.0535 0.0063 0.2497 (multiplicity 8)  3 S 2.42-2.66
Li: 0.1603 0.0052 0.7490 (multiplicity 8)  1 S 2.40, 1 Li 2.67
Li: 0.2156 0.2500 0.2488 (multiplicity 4)  6 Li 2.67-2.84, 4 Sb 2.81-2.97
Sb: 0.1894 0.7500 0.2489 (multiplicity 4)  12 Li 2.75-3.04
S: 0.0526 0.2500 0.7497 (multiplicity 4)  8 Li 2.40-2.66

---

VASP calculation (PBEsol) on YSbPt2 after structural relaxation.

Total moment (μB/f.u.): 0.0
Calculated total energy (eV/atom): -6.91
E_form (uncorrected) (eV per atom): -0.580

a b c (Å): 6.7321 6.7321 6.7321
angles (deg): 90.00 90.00 90.00
Closest atoms and distances in Å follow each position.
Space group F-43m (No. 216)
Symmetry-distinct sites (fractional):
Y: 0.0000 0.0000 0.0000 (multiplicity 4)  4 Pt 2.92, 4 Sb 2.92
Sb: 0.2500 0.2500 0.2500 (multiplicity 4)  4 Pt 2.92, 4 Y 2.92
Pt: 0.0000 0.0000 0.5000 (multiplicity 4)  4 Sb 2.92, 4 Pt 2.92
Pt: 0.2500 0.2500 0.7500 (multiplicity 4)  4 Pt 2.92, 4 Y 2.92

---

VASP calculation (PBEsol) on Fe2NiAs after structural relaxation.

Formation energy from the elements (eV/atom): 0.037
Total moment (μB/f.u.): 5.1
Calculated total energy (eV/atom): -7.26

a b c (Å): 2.6879 3.6201 4.8488
angles (deg): 90.00 90.00 90.00
Closest atoms and distances in Å follow each position.
Space group Pmmm (No. 47)
Symmetry-distinct sites (fractional):
Fe: 0.0000 0.0000 0.2431 (multiplicity 2)  2 Fe 2.36-2.49, 4 Ni 2.54, 4 As 2.58
Ni: 0.5000 0.5000 0.0000 (multiplicity 1)  2 As 2.42, 8 Fe 2.54, 2 Ni 2.69
As: 0.5000 0.5000 0.5000 (multiplicity 1)  2 Ni 2.42, 8 Fe 2.58, 2 As 2.69

---

VASP calculation (PBEsol) on SiRuCl2 after structural relaxation.

Total moment (μB/f.u.): 0.4
Calculated total energy (eV/atom): -5.01
E_form (uncorrected) (eV per atom): -0.024
Energy above the most stable polymorph in this dataset (kJ/mol of formula units): 0

a b c (Å): 3.0062 3.9247 13.4297
angles (deg): 90.00 90.00 90.00
Closest atoms and distances in Å follow each position.
Space group Immm (No. 71)
Symmetry-distinct sites (fractional):
Si: 0.0000 0.0000 0.0000 (multiplicity 2)  4 Ru 2.47
Ru: 0.0000 0.0000 0.5000 (multiplicity 2)  4 Si 2.47, 4 Cl 2.51
Cl: 0.0000 0.5000 0.1500 (multiplicity 4)  2 Ru 2.51, 2 Si 2.81